No. 1
{"formula": "Pr4Pb2Br3", "functional": "GGA-PBE", "state": "relaxed", "raw_formation_energy_mev_per_atom": -1108, "lattice_angstrom": [[3.940, -2.274, 0.000], [3.940, 2.274, 0.000], [-0.014, 0.000, 17.774]], "species": ["Pr", "Pr", "Pr", "Pr", "Pb", "Pb", "Br", "Br", "Br"], "frac_coords": [[0.001, 0.001, 0.304], [0.334, 0.334, 0.102], [0.666, 0.666, 0.898], [0.999, 0.999, 0.696], [0.333, 0.333, 0.799], [0.667, 0.667, 0.201], [0.000, 0.000, 0.000], [0.334, 0.334, 0.398], [0.666, 0.666, 0.602]]}

=====

No. 2
{"formula": "BaTePt2", "functional": "GGA-PBE", "state": "relaxed", "raw_formation_energy_mev_per_atom": -654, "lattice_angstrom": [[5.417, 0.000, 0.000], [0.000, 5.417, 0.000], [0.000, 0.000, 17.352]], "species": ["Ba", "Ba", "Ba", "Ba", "Te", "Te", "Te", "Te", "Pt", "Pt", "Pt", "Pt", "Pt", "Pt", "Pt", "Pt"], "frac_coords": [[0.000, 0.250, 0.375], [0.000, 0.750, 0.625], [0.500, 0.250, 0.125], [0.500, 0.750, 0.875], [0.000, 0.250, 0.875], [0.000, 0.750, 0.125], [0.500, 0.250, 0.625], [0.500, 0.750, 0.375], [0.000, 0.000, 0.000], [0.000, 0.500, 0.000], [0.250, 0.250, 0.750], [0.250, 0.750, 0.250], [0.500, 0.000, 0.500], [0.500, 0.500, 0.500], [0.750, 0.250, 0.750], [0.750, 0.750, 0.250]]}

=====

No. 3
{"formula": "Ga2MoCl", "functional": "GGA-PBE", "state": "relaxed", "raw_formation_energy_mev_per_atom": 410, "lattice_angstrom": [[8.814, 0.000, 0.000], [0.000, 8.814, 0.000], [0.000, 0.000, 4.637]], "species": ["Ga", "Ga", "Ga", "Ga", "Ga", "Ga", "Ga", "Ga", "Mo", "Mo", "Mo", "Mo", "Cl", "Cl", "Cl", "Cl"], "frac_coords": [[0.146, 0.250, 0.125], [0.250, 0.646, 0.375], [0.250, 0.854, 0.875], [0.354, 0.250, 0.625], [0.646, 0.750, 0.625], [0.750, 0.146, 0.875], [0.750, 0.354, 0.375], [0.854, 0.750, 0.125], [0.000, 0.000, 0.000], [0.000, 0.500, 0.250], [0.500, 0.000, 0.750], [0.500, 0.500, 0.500], [0.000, 0.000, 0.500], [0.000, 0.500, 0.750], [0.500, 0.000, 0.250], [0.500, 0.500, 0.000]]}